A plane-wave DFT calculation with PBE-GGA was carried out for crystalline LiAl2Ru2 at its relaxed geometry.

The formation enthalpy at 0 K is -377 meV per atom. The space group is P4/mbm. The excess energy over the best structure of this formula in the dataset is 0.0000 eV per atom. The calculation puts the magnetization at 0.0 μB/cell.

Lattice parameters (Å, degrees): 6.7420 6.7420 3.1429 90.00 90.00 90.00
Fractional coordinates of all 10 atoms:
Al1 0.8624 0.6376 0.0000
Al2 0.1376 0.3624 0.0000
Ru1 0.8401 0.3401 0.5000
Ru2 0.6599 0.8401 0.5000
Al3 0.6376 0.1376 0.0000
Li1 0.5000 0.5000 0.0000
Li2 0.0000 0.0000 0.0000
Ru3 0.1599 0.6599 0.5000
Al4 0.3624 0.8624 0.0000
Ru4 0.3401 0.1599 0.5000